Record 1
Entry from OQMD via LeMat-Bulk: a geometry-optimized Sc2GaSiIr4 structure (PBE).

a = 6.9874 Å, b = 5.2595 Å, c = 5.2595 Å
α = 41.38°, β = 90.00°, γ = 90.00°
Last column: nearest neighbours and their distance in Å.
Element x y z (fractional)
Ga  0.0000  0.7287  0.7287  6 Ir 2.51-2.58, 1 Sc 2.78
Ir  0.2145  0.1294  0.1294  1 Si 2.46, 2 Ga 2.58, 1 Ir 2.66
Ir  0.7855  0.1294  0.1294  1 Si 2.46, 2 Ga 2.58, 1 Ir 2.66
Ir  0.3026  0.8666  0.8666  2 Si 2.48, 1 Ga 2.51, 2 Ir 2.66-2.76
Ir  0.6974  0.8666  0.8666  2 Si 2.48, 1 Ga 2.51, 2 Ir 2.66-2.76
Sc  0.0000  0.4462  0.4462  3 Ga 2.78-2.83, 8 Ir 2.92-2.99
Sc  0.5000  0.5575  0.5575  3 Si 2.77-2.84, 8 Ir 2.82-2.98
Si  0.5000  0.2758  0.2758  6 Ir 2.46-2.48

Values from the calculation:
E_tot, Ry per atom: -0.57321

---

Record 2
Entry from OQMD via LeMat-Bulk: a geometry-optimized TbScGa4Ir2 structure (PBE).

a = 4.2090 Å, b = 6.9153 Å, c = 5.3777 Å
α = 90.00°, β = 113.00°, γ = 90.00°
Last column: nearest neighbours and their distance in Å.
Element x y z (fractional)
Ga  0.6379  0.3066  0.2762  3 Ir 2.59-2.60, 2 Ga 2.68-2.81
Ga  0.6379  0.6934  0.2762  3 Ir 2.59-2.60, 2 Ga 2.68-2.81
Ga  0.3638  0.2036  0.7271  3 Ir 2.56-2.64, 2 Ga 2.81-2.82
Ga  0.3638  0.7964  0.7271  3 Ir 2.56-2.64, 2 Ga 2.81-2.82
Ir  0.2076  0.5000  0.4157  6 Ga 2.56-2.59, 1 Sc 2.83
Ir  0.7903  0.0000  0.5802  6 Ga 2.60-2.64, 1 Tb 2.84
Sc  0.9219  0.5000  0.8437  3 Ir 2.83-2.99, 6 Ga 2.99-3.11
Tb  0.0769  0.0000  0.1537  3 Ir 2.84-2.98, 6 Ga 3.05-3.17

Values from the calculation:
E_tot, Ry per atom: -0.42798

---

Record 3
Entry from OQMD via LeMat-Bulk: a geometry-optimized TmScGa4Ir2 structure (PBE).

a = 4.2301 Å, b = 6.7760 Å, c = 5.3486 Å
α = 90.00°, β = 113.26°, γ = 90.00°
Last column: nearest neighbours and their distance in Å.
Element x y z (fractional)
Ga  0.6350  0.3047  0.2704  3 Ir 2.58-2.59, 2 Ga 2.65-2.73
Ga  0.6350  0.6953  0.2704  3 Ir 2.58-2.59, 2 Ga 2.65-2.73
Ga  0.3664  0.2024  0.7326  3 Ir 2.57-2.62, 2 Ga 2.73-2.74
Ga  0.3664  0.7976  0.7326  3 Ir 2.57-2.62, 2 Ga 2.73-2.74
Ir  0.2047  0.5000  0.4098  6 Ga 2.57-2.59, 1 Sc 2.81
Ir  0.7927  0.0000  0.5849  6 Ga 2.58-2.62, 1 Tm 2.83
Sc  0.9193  0.5000  0.8381  3 Ir 2.81-2.99, 6 Ga 2.97-3.09
Tm  0.0804  0.0000  0.1612  3 Ir 2.83-2.97, 6 Ga 3.00-3.12

Values from the calculation:
E_tot, Ry per atom: -0.42723

---

Record 4
Entry from OQMD via LeMat-Bulk: a geometry-optimized YScGa4Ir2 structure (PBE).

a = 4.2113 Å, b = 6.8890 Å, c = 5.3901 Å
α = 90.00°, β = 112.98°, γ = 90.00°
Last column: nearest neighbours and their distance in Å.
Element x y z (fractional)
Ga  0.6354  0.2964  0.2713  3 Ir 2.57-2.64, 2 Ga 2.80-2.81
Ga  0.6354  0.7036  0.2713  3 Ir 2.57-2.64, 2 Ga 2.80-2.81
Ga  0.3625  0.1934  0.7246  3 Ir 2.58-2.60, 2 Ga 2.66-2.80
Ga  0.3625  0.8066  0.7246  3 Ir 2.58-2.60, 2 Ga 2.66-2.80
Ir  0.2098  0.5000  0.4196  6 Ga 2.60-2.64, 1 Y 2.85
Ir  0.7932  0.0000  0.5860  6 Ga 2.57-2.59, 1 Sc 2.83
Sc  0.0784  0.0000  0.1569  3 Ir 2.83-3.00, 6 Ga 2.99-3.12
Y  0.9227  0.5000  0.8457  3 Ir 2.85-2.98, 6 Ga 3.04-3.18

Values from the calculation:
E_tot, Ry per atom: -0.44517

---

Record 5
Entry from OQMD via LeMat-Bulk: a geometry-optimized ScZnGa2Ir4 structure (PBE).

a = 4.3482 Å, b = 4.3482 Å, c = 6.1977 Å
α = 90.00°, β = 90.00°, γ = 90.00°
Last column: nearest neighbours and their distance in Å.
Element x y z (fractional)
Ga  0.5000  0.5000  0.0000  8 Ir 2.64
Ga  0.0000  0.0000  0.5000  8 Ir 2.70
Ir  0.5000  0.0000  0.2406  2 Zn 2.64, 4 Ga 2.64-2.70, 2 Sc 2.70
Ir  0.0000  0.5000  0.2406  2 Zn 2.64, 4 Ga 2.64-2.70, 2 Sc 2.70
Ir  0.5000  0.0000  0.7594  2 Zn 2.64, 4 Ga 2.64-2.70, 2 Sc 2.70
Ir  0.0000  0.5000  0.7594  2 Zn 2.64, 4 Ga 2.64-2.70, 2 Sc 2.70
Sc  0.5000  0.5000  0.5000  8 Ir 2.70
Zn  0.0000  0.0000  0.0000  8 Ir 2.64

Values from the calculation:
E_tot, Ry per atom: -0.49377

---

Record 6
Entry from OQMD via LeMat-Bulk: a geometry-optimized Ga5Si2Ir structure (PBE).

a = 4.0831 Å, b = 4.0831 Å, c = 8.9726 Å
α = 90.00°, β = 90.00°, γ = 90.00°
Last column: nearest neighbours and their distance in Å.
Element x y z (fractional)
Ga  0.5000  0.5000  0.0000  8 Ga 2.77, 4 Ir 2.89
Ga  0.5000  0.0000  0.2084  2 Si 2.50, 2 Ir 2.77, 2 Ga 2.77
Ga  0.0000  0.5000  0.2084  2 Si 2.50, 2 Ir 2.77, 2 Ga 2.77
Ga  0.5000  0.0000  0.7916  2 Si 2.50, 2 Ga 2.77, 2 Ir 2.77
Ga  0.0000  0.5000  0.7916  2 Si 2.50, 2 Ga 2.77, 2 Ir 2.77
Ir  0.0000  0.0000  0.0000  12 Ga 2.77-2.89
Si  0.5000  0.5000  0.3700  1 Si 2.33, 4 Ga 2.50
Si  0.5000  0.5000  0.6300  1 Si 2.33, 4 Ga 2.50

Values from the calculation:
E_tot, Ry per atom: -0.31428